Entry from Alexandria: a relaxed Bi2BPd2 crystal (PBE-GGA).

Summary:
ΔE_f   0.26 eV per atom
Polymorph energy (0 for the lowest one)   0.44 eV/f.u.
Space group   I4/mmm
Total moment   0.00 μB per formula unit
V   110 Å³ per cell

Cell lengths 5.7589, 5.7589, 5.2577 Å; angles 56.79, 56.79, 90.00 degrees
Atoms (fractional coordinates):
Pd 0.7088 0.7088 0.5825
Bi 0.7500 0.2500 0.5000
Bi 0.2500 0.7500 0.5000
Pd 0.2912 0.2912 0.4175
B 0.0000 0.0000 0.0000